No. 1
DFT (PBE) results for a geometry-optimized Ba2SrLiBr structure.

Results
Magnetic moment: 1.28 Bohr magnetons per cell
E_tot: -2.302 eV per atom

Structure (CIF):
```
data_Ba2SrLiBr
_chemical_formula_sum 'Ba2 Sr1 Li1 Br1'
_cell_length_a 6.7855
_cell_length_b 6.7855
_cell_length_c 5.1312
_cell_angle_alpha 90.00
_cell_angle_beta 90.00
_cell_angle_gamma 90.00
_space_group_name_H-M_alt 'P 4/m m m'
_space_group_IT_number 123
_space_group_name_Hall '-P 4 2'
loop_
_atom_site_label
_atom_site_type_symbol
_atom_site_fract_x
_atom_site_fract_y
_atom_site_fract_z
Ba1 Ba 0.0000 0.5000 0.0000
Sr1 Sr 0.0000 0.0000 0.5000
Li1 Li 0.5000 0.5000 0.5000
Br1 Br 0.5000 0.5000 0.0000
```

No. 2
DFT (PBE) results for a geometry-optimized GaNi14Sb structure.

Results
Magnetic moment: 4.58 Bohr magnetons per cell
E_tot: -5.584 eV per atom

Structure (CIF):
```
data_GaNi14Sb
_chemical_formula_sum 'Ga1 Ni14 Sb1'
_cell_length_a 5.1098
_cell_length_b 5.1098
_cell_length_c 7.0775
_cell_angle_alpha 90.00
_cell_angle_beta 90.00
_cell_angle_gamma 90.00
_space_group_name_H-M_alt 'P 4/m m m'
_space_group_IT_number 123
_space_group_name_Hall '-P 4 2'
loop_
_atom_site_label
_atom_site_type_symbol
_atom_site_fract_x
_atom_site_fract_y
_atom_site_fract_z
Ga1 Ga 0.0000 0.0000 0.0000
Ni1 Ni 0.0000 0.0000 0.5000
Ni2 Ni 0.0000 0.5000 0.0000
Ni3 Ni 0.0000 0.5000 0.5000
Ni4 Ni 0.2465 0.2465 0.2603
Ni5 Ni 0.5000 0.5000 0.5000
Sb1 Sb 0.5000 0.5000 0.0000
```

No. 3
DFT (PBE) results for a geometry-optimized K2YTaBe structure.

Results
ΔE_f: 1.500 eV/atom
Magnetic moment: 1.03 Bohr magnetons per cell

Structure (CIF):
```
data_K2YTaBe
_chemical_formula_sum 'K2 Y1 Ta1 Be1'
_cell_length_a 5.7293
_cell_length_b 5.7293
_cell_length_c 4.9132
_cell_angle_alpha 90.00
_cell_angle_beta 90.00
_cell_angle_gamma 90.00
_space_group_name_H-M_alt 'P 4/m m m'
_space_group_IT_number 123
_space_group_name_Hall '-P 4 2'
loop_
_atom_site_label
_atom_site_type_symbol
_atom_site_fract_x
_atom_site_fract_y
_atom_site_fract_z
K1 K 0.0000 0.5000 0.0000
Y1 Y 0.0000 0.0000 0.5000
Ta1 Ta 0.5000 0.5000 0.5000
Be1 Be 0.5000 0.5000 0.0000
```

No. 4
DFT (PBE) results for a geometry-optimized La3TbDy2P6 structure.

Results
ΔE_f: -1.582 eV/atom
Magnetic moment: 0.00 Bohr magnetons per cell

Structure (CIF):
```
data_La3TbDy2P6
_chemical_formula_sum 'La6 Tb2 Dy4 P12'
_cell_length_a 7.1797
_cell_length_b 12.4351
_cell_length_c 7.1800
_cell_angle_alpha 90.00
_cell_angle_beta 109.46
_cell_angle_gamma 90.00
_space_group_name_H-M_alt 'C 1 2/m 1'
_space_group_IT_number 12
loop_
_space_group_symop_operation_xyz
'x,y,z'
'-x,-y,-z'
'-x,y,-z'
'x,-y,z'
'x+1/2,y+1/2,z'
'-x+1/2,-y+1/2,-z'
'-x+1/2,y+1/2,-z'
'x+1/2,-y+1/2,z'
loop_
_atom_site_label
_atom_site_type_symbol
_atom_site_fract_x
_atom_site_fract_y
_atom_site_fract_z
La1 La 0.0000 0.0000 0.0000
La2 La 0.0000 0.3334 0.0000
Tb1 Tb 0.0000 0.5000 0.5000
Dy1 Dy 0.0000 0.1667 0.5000
P1 P 0.2448 0.0000 0.7366
P2 P 0.2459 0.3330 0.7366
```

No. 5
DFT (PBE) results for a geometry-optimized CaBeNiHg2 structure.

Results
ΔE_f: 0.448 eV/atom
Magnetic moment: 0.00 Bohr magnetons per cell

Structure (CIF):
```
data_CaBeNiHg2
_chemical_formula_sum 'Ca1 Be1 Ni1 Hg2'
_cell_length_a 4.5696
_cell_length_b 4.5696
_cell_length_c 5.3076
_cell_angle_alpha 90.00
_cell_angle_beta 90.00
_cell_angle_gamma 90.00
_space_group_name_H-M_alt 'P 4/m m m'
_space_group_IT_number 123
_space_group_name_Hall '-P 4 2'
loop_
_atom_site_label
_atom_site_type_symbol
_atom_site_fract_x
_atom_site_fract_y
_atom_site_fract_z
Ca1 Ca 0.0000 0.0000 0.0000
Be1 Be 0.0000 0.0000 0.5000
Ni1 Ni 0.5000 0.5000 0.0000
Hg1 Hg 0.0000 0.5000 0.5000
```

No. 6
DFT (PBE) results for a geometry-optimized Ge2Mo2Pd structure.

Results
ΔE_f: 0.099 eV/atom
Magnetic moment: 0.00 Bohr magnetons per cell

Structure (CIF):
```
data_Ge2Mo2Pd
_chemical_formula_sum 'Ge4 Mo4 Pd2'
_cell_length_a 7.3425
_cell_length_b 7.3425
_cell_length_c 3.0280
_cell_angle_alpha 90.00
_cell_angle_beta 90.00
_cell_angle_gamma 90.00
_space_group_name_H-M_alt 'P 4/m b m'
_space_group_IT_number 127
_space_group_name_Hall '-P 4 2ab'
loop_
_atom_site_label
_atom_site_type_symbol
_atom_site_fract_x
_atom_site_fract_y
_atom_site_fract_z
Ge1 Ge 0.1749 0.3251 0.0000
Mo1 Mo 0.1207 0.6207 0.5000
Pd1 Pd 0.0000 0.0000 0.5000
```

No. 7
DFT (PBE) results for a geometry-optimized KSmTl2 structure.

Results
ΔE_f: -0.066 eV/atom
Magnetic moment: 0.00 Bohr magnetons per cell

Structure (CIF):
```
data_KSmTl2
_chemical_formula_sum 'K3 Sm3 Tl6'
_cell_length_a 3.8134
_cell_length_b 3.8134
_cell_length_c 32.6717
_cell_angle_alpha 90.00
_cell_angle_beta 90.00
_cell_angle_gamma 120.00
_space_group_name_H-M_alt 'R -3 m'
_space_group_IT_number 166
_space_group_name_Hall '-R 3 2"'
loop_
_atom_site_label
_atom_site_type_symbol
_atom_site_fract_x
_atom_site_fract_y
_atom_site_fract_z
K1 K 0.0000 0.0000 0.0000
Sm1 Sm 0.0000 0.0000 0.5000
Tl1 Tl 0.0000 0.0000 0.2435
```

No. 8
DFT (PBE) results for a geometry-optimized MnOsW2 structure.

Results
ΔE_f: 0.283 eV/atom
Magnetic moment: 8.77 Bohr magnetons per cell

Structure (CIF):
```
data_MnOsW2
_chemical_formula_sum 'Mn3 Os3 W6'
_cell_length_a 2.7767
_cell_length_b 2.7767
_cell_length_c 27.1835
_cell_angle_alpha 90.00
_cell_angle_beta 90.00
_cell_angle_gamma 120.00
_space_group_name_H-M_alt 'R -3 m'
_space_group_IT_number 166
_space_group_name_Hall '-R 3 2"'
loop_
_atom_site_label
_atom_site_type_symbol
_atom_site_fract_x
_atom_site_fract_y
_atom_site_fract_z
Mn1 Mn 0.0000 0.0000 0.0000
Os1 Os 0.0000 0.0000 0.5000
W1 W 0.0000 0.0000 0.2503
```

No. 9
DFT (PBE) results for a geometry-optimized CaCr2W structure.

Results
ΔE_f: 0.692 eV/atom
Magnetic moment: 0.00 Bohr magnetons per cell

Structure (CIF):
```
data_CaCr2W
_chemical_formula_sum 'Ca2 Cr4 W2'
_cell_length_a 3.1460
_cell_length_b 4.4816
_cell_length_c 9.0871
_cell_angle_alpha 90.00
_cell_angle_beta 90.00
_cell_angle_gamma 90.00
_space_group_name_H-M_alt 'C m m 2'
_space_group_IT_number 35
loop_
_space_group_symop_operation_xyz
'x,y,z'
'-x,-y,z'
'-x,y,z'
'x,-y,z'
'x+1/2,y+1/2,z'
'-x+1/2,-y+1/2,z'
'-x+1/2,y+1/2,z'
'x+1/2,-y+1/2,z'
loop_
_atom_site_label
_atom_site_type_symbol
_atom_site_fract_x
_atom_site_fract_y
_atom_site_fract_z
Ca1 Ca 0.0000 0.0000 0.0000
Cr1 Cr 0.0000 0.0000 0.4743
Cr2 Cr 0.0000 0.5000 0.2864
W1 W 0.0000 0.5000 0.7005
```

No. 10
DFT (PBE) results for a geometry-optimized Sr3ICl5 structure.

Results
Magnetic moment: 0.01 Bohr magnetons per cell
E_tot: -4.068 eV per atom

Structure (CIF):
```
data_Sr3ICl5
_chemical_formula_sum 'Sr12 I4 Cl20'
_cell_length_a 13.7807
_cell_length_b 9.4801
_cell_length_c 10.9848
_cell_angle_alpha 90.00
_cell_angle_beta 113.57
_cell_angle_gamma 90.00
_space_group_name_H-M_alt 'C 1 2/m 1'
_space_group_IT_number 12
loop_
_space_group_symop_operation_xyz
'x,y,z'
'-x,-y,-z'
'-x,y,-z'
'x,-y,z'
'x+1/2,y+1/2,z'
'-x+1/2,-y+1/2,-z'
'-x+1/2,y+1/2,-z'
'x+1/2,-y+1/2,z'
loop_
_atom_site_label
_atom_site_type_symbol
_atom_site_fract_x
_atom_site_fract_y
_atom_site_fract_z
Sr1 Sr 0.0000 0.0000 0.0000
Sr2 Sr 0.0000 0.0000 0.5000
Sr3 Sr 0.1415 0.5000 0.1849
Sr4 Sr 0.1711 0.5000 0.6709
I1 I 0.1248 0.0000 0.8142
Cl1 Cl 0.0000 0.3102 0.5000
Cl2 Cl 0.0819 0.5000 0.8838
Cl3 Cl 0.1566 0.1941 0.1797
Cl4 Cl 0.2297 0.0000 0.5278
```

No. 11
DFT (PBE) results for a geometry-optimized Zr3AlAg structure.

Results
ΔE_f: 0.700 eV/atom
Magnetic moment: 0.00 Bohr magnetons per cell

Structure (CIF):
```
data_Zr3AlAg
_chemical_formula_sum 'Zr3 Al1 Ag1'
_cell_length_a 5.0100
_cell_length_b 5.0100
_cell_length_c 5.0100
_cell_angle_alpha 90.00
_cell_angle_beta 90.00
_cell_angle_gamma 90.00
_space_group_name_H-M_alt 'P m -3 m'
_space_group_IT_number 221
_space_group_name_Hall '-P 4 2 3'
loop_
_atom_site_label
_atom_site_type_symbol
_atom_site_fract_x
_atom_site_fract_y
_atom_site_fract_z
Zr1 Zr 0.0000 0.0000 0.5000
Al1 Al 0.0000 0.0000 0.0000
Ag1 Ag 0.5000 0.5000 0.5000
```